# HfScRh6, optimized geometry, DFT PBE
data_HfScRh6
_cell_length_a 6.6740
_cell_length_b 11.4020
_cell_length_c 6.6732
_cell_angle_alpha 90.00
_cell_angle_beta 94.30
_cell_angle_gamma 90.00
_space_group_name_H-M_alt 'C 1 2/m 1'
_space_group_IT_number 12
_space_group_name_Hall '-C 2y'
loop_
_atom_site_label
_atom_site_type_symbol
_atom_site_fract_x
_atom_site_fract_y
_atom_site_fract_z
Hf1 Hf 0.2500 0.2500 0.0000
Sc1 Sc 0.2500 0.2500 0.5000
Rh1 Rh 0.0355 0.1148 0.2130
Rh2 Rh 0.0358 0.3846 0.7156
Rh3 Rh 0.2060 0.5000 0.0443
Rh4 Rh 0.2069 0.0000 0.5426
# - M_tot: 0.00 μB/cell
# - Energy of formation: -0.49 eV per atom